Entry w
Compound: CaTcCl6
Source: Alexandria via LeMat-Bulk
Functional: PBE
Structure: optimized geometry

- crystal system = monoclinic
- spin magnetization (μB per atom) = 0.375

Unit cell a=6.889 b=6.889 c=6.791 alpha=103.68 beta=103.68 gamma=104.23
Fractional coordinates of all 8 atoms:
Ca: 0.000 0.000 0.000
Tc: 0.000 0.000 0.500
Cl: 0.031 0.724 0.234
Cl: 0.246 0.246 0.412
Cl: 0.276 0.969 0.766
Cl: 0.724 0.031 0.234
Cl: 0.754 0.754 0.588
Cl: 0.969 0.276 0.766

***

Entry x
Compound: CaTcCl6
Source: Alexandria via LeMat-Bulk
Functional: PBE
Structure: optimized geometry

- crystal system = trigonal
- spin magnetization (μB per atom) = 0.375

Unit cell a=6.947 b=6.947 c=6.947 alpha=55.37 beta=55.37 gamma=55.37
Fractional coordinates of all 8 atoms:
Ca: 0.000 0.000 0.000
Tc: 0.500 0.500 0.500
Cl: 0.116 0.433 0.719
Cl: 0.281 0.884 0.567
Cl: 0.433 0.719 0.116
Cl: 0.567 0.281 0.884
Cl: 0.719 0.116 0.433
Cl: 0.884 0.567 0.281

***

Stability ranking, top and bottom: entry w is the most stable and entry x is the least stable.